Computed, not measured: crystalline Tb2PmIn at its relaxed geometry at the PBE level of DFT.

a = 4.908 Å, b = 4.908 Å, c = 4.869 Å
α = 90.00°, β = 90.00°, γ = 90.00°
Space group P4/mmm (No. 123)
Inequivalent atoms, fractional coordinates:
Tb (0.000, 0.500, 0.000) (multiplicity 2)
Pm (0.000, 0.000, 0.500) (multiplicity 1)
In (0.500, 0.500, 0.500) (multiplicity 1)

Properties
Raw total energy in eV per atom: -4.456
Fermi-level density of states in states/eV/cell: 6.4
Formation enthalpy at 0 K in meV per atom: -269